Record 1
A relaxed TcWBr2 crystal. Source: Alexandria, functional GGA-PBE.

Summary:
**Energy**: -21.78 eV for the cell shown
**Excess energy over the best structure of this formula in the dataset**: 1206 meV per atom
**Crystal system**: monoclinic
**Energy relative to the elements, uncorrected**: 1.221 eV per atom

abc: 3.030 4.476 5.620
angles: 90.00 99.37 90.00
Space group P2/m (No. 10)
Symmetry-distinct sites (fractional):
Tc  0.000  0.000  0.000 x1
W  0.500  0.000  0.500 x1
Br  0.294  0.500  0.248 x2

***

Record 2
A relaxed Tc2WBr crystal. Source: Alexandria, functional GGA-PBE.

Summary:
**Energy**: -32.96 eV for the cell shown
**Excess energy over the best structure of this formula in the dataset**: 201 meV per atom
**Crystal system**: tetragonal
**Energy relative to the elements, uncorrected**: 0.598 eV per atom

abc: 2.992 2.992 7.051
angles: 90.00 90.00 90.00
Space group P4mm (No. 99)
Symmetry-distinct sites (fractional):
Tc  0.000  0.000  0.000 x1
Tc  0.500  0.500  0.233 x1
W  0.000  0.000  0.480 x1
Br  0.500  0.500  0.738 x1

***

Record 3
A relaxed Tc2WBr crystal. Source: Alexandria, functional GGA-PBE.

Summary:
**Energy**: -64.18 eV for the cell shown
**Excess energy over the best structure of this formula in the dataset**: 420 meV per atom
**Crystal system**: monoclinic
**Energy relative to the elements, uncorrected**: 0.817 eV per atom

abc: 9.077 3.026 5.095
angles: 90.00 106.44 90.00
Space group C2/m (No. 12)
Symmetry-distinct sites (fractional):
Tc  0.238  0.000  0.208 x4
W  0.000  0.500  0.000 x2
Br  0.000  0.000  0.500 x2

***

Record 4
A relaxed Tc2WBr crystal. Source: Alexandria, functional GGA-PBE.

Summary:
**Energy**: -33.77 eV for the cell shown
**Excess energy over the best structure of this formula in the dataset**: 0 meV per atom
**Crystal system**: orthorhombic
**Energy relative to the elements, uncorrected**: 0.397 eV per atom

abc: 3.093 3.131 7.450
angles: 90.00 90.00 90.00
Space group Pmmm (No. 47)
Symmetry-distinct sites (fractional):
Tc  0.000  0.000  0.200 x2
W  0.500  0.500  0.000 x1
Br  0.500  0.000  0.500 x1

***

Record 5
A relaxed TcWBr crystal. Source: Alexandria, functional GGA-PBE.

Summary:
**Energy**: -22.26 eV for the cell shown
**Excess energy over the best structure of this formula in the dataset**: 459 meV per atom
**Crystal system**: trigonal
**Energy relative to the elements, uncorrected**: 0.909 eV per atom

abc: 4.3326 4.3326 2.9907
angles: 90.00 90.00 120.00
Space group P3m1 (No. 156)
Symmetry-distinct sites (fractional):
Tc  0.0000  0.0000  0.0000 x1
W  0.6667  0.3333  0.5155 x1
Br  0.3333  0.6667  0.7110 x1

***

Record 6
A relaxed Tc2WBr crystal. Source: Alexandria, functional GGA-PBE.

Summary:
**Energy**: -121.67 eV for the cell shown
**Excess energy over the best structure of this formula in the dataset**: 838 meV per atom
**Crystal system**: tetragonal
**Energy relative to the elements, uncorrected**: 1.235 eV per atom

abc: 5.655 5.655 11.256
angles: 90.00 90.00 90.00
Space group I-42d (No. 122)
Symmetry-distinct sites (fractional):
Tc  0.246  0.250  0.125 x8
W  0.000  0.000  0.000 x4
Br  0.000  0.000  0.500 x4

***

Record 7
A relaxed TcWBr2 crystal. Source: Alexandria, functional GGA-PBE.

Summary:
**Energy**: -67.82 eV for the cell shown
**Excess energy over the best structure of this formula in the dataset**: 1000 meV per atom
**Crystal system**: trigonal
**Energy relative to the elements, uncorrected**: 1.015 eV per atom

abc: 3.1082 3.1082 26.2974
angles: 90.00 90.00 120.00
Space group R-3m (No. 166, hexagonal axes)
Symmetry-distinct sites (fractional):
Tc  0.0000  0.0000  0.0000 x3
W  0.0000  0.0000  0.5000 x3
Br  0.0000  0.0000  0.0927 x6

***

Record 8
A relaxed TcWBr crystal. Source: Alexandria, functional GGA-PBE.

Summary:
**Energy**: -86.29 eV for the cell shown
**Excess energy over the best structure of this formula in the dataset**: 690 meV per atom
**Crystal system**: cubic
**Energy relative to the elements, uncorrected**: 1.140 eV per atom

abc: 6.120 6.120 6.120
angles: 90.00 90.00 90.00
Space group F-43m (No. 216)
Symmetry-distinct sites (fractional):
Tc  0.000  0.000  0.000 x4
W  0.250  0.250  0.250 x4
Br  0.250  0.250  0.750 x4

***

Record 9
A relaxed TcWBr2 crystal. Source: Alexandria, functional GGA-PBE.

Summary:
**Energy**: -26.23 eV for the cell shown
**Excess energy over the best structure of this formula in the dataset**: 94 meV per atom
**Crystal system**: monoclinic
**Energy relative to the elements, uncorrected**: 0.109 eV per atom

abc: 3.342 3.051 8.966
angles: 90.00 90.24 90.00
Space group Pm (No. 6)
Symmetry-distinct sites (fractional):
Tc  0.000  0.000  0.000 x1
W  0.502  0.500  0.157 x1
Br  0.506  0.000  0.386 x1
Br  0.996  0.500  0.769 x1

***

Record 10
A relaxed Tc2WBr crystal. Source: Alexandria, functional GGA-PBE.

Summary:
**Energy**: -64.30 eV for the cell shown
**Excess energy over the best structure of this formula in the dataset**: 405 meV per atom
**Crystal system**: orthorhombic
**Energy relative to the elements, uncorrected**: 0.802 eV per atom

abc: 3.009 4.845 9.137
angles: 90.00 90.00 90.00
Space group Cmm2 (No. 35)
Symmetry-distinct sites (fractional):
Tc  0.000  0.000  0.000 x2
Tc  0.000  0.500  0.233 x2
W  0.000  0.500  0.765 x2
Br  0.000  0.000  0.496 x2

***

Record 11
A relaxed Tc2WBr crystal. Source: Alexandria, functional GGA-PBE.

Summary:
**Energy**: -63.06 eV for the cell shown
**Excess energy over the best structure of this formula in the dataset**: 561 meV per atom
**Crystal system**: monoclinic
**Energy relative to the elements, uncorrected**: 0.957 eV per atom

abc: 5.445 8.765 2.950
angles: 90.00 115.07 90.00
Space group C2/m (No. 12)
Symmetry-distinct sites (fractional):
Tc  0.250  0.250  0.000 x4
W  0.000  0.000  0.500 x2
Br  0.000  0.500  0.500 x2

***

Record 12
A relaxed Tc2WBr crystal. Source: Alexandria, functional GGA-PBE.

Summary:
**Energy**: -65.49 eV for the cell shown
**Excess energy over the best structure of this formula in the dataset**: 257 meV per atom
**Crystal system**: orthorhombic
**Energy relative to the elements, uncorrected**: 0.653 eV per atom

abc: 3.138 4.882 8.828
angles: 90.00 90.00 90.00
Space group Cmmm (No. 65)
Symmetry-distinct sites (fractional):
Tc  0.000  0.000  0.230 x4
W  0.000  0.500  0.000 x2
Br  0.000  0.500  0.500 x2

***

Number 1: V 75 Å³/cell. Number 2: V 63 Å³/cell. Number 3: V 134 Å³/cell. Number 4: V 72 Å³/cell. Number 5: V 49 Å³/cell. Number 6: V 360 Å³/cell. Number 7: V 220 Å³/cell. Number 8: V 229 Å³/cell. Number 9: V 91 Å³/cell. Number 10: V 133 Å³/cell. Number 11: V 128 Å³/cell. Number 12: V 135 Å³/cell.